Version 1
Material: BeCo5
Method: DFT, PBEsol
State: relaxed

Cell: 2.4472 3.9085 6.3071 Å, 90.00 101.19 90.00°
With the nearest neighbours (Å) after each atom.
Positions (direct):
Co: 0.6639 0.0000 0.3277  2 Be 2.39, 10 Co 2.40-2.46
Co: 0.4477 0.5000 0.8953  8 Co 2.35-2.45, 4 Be 2.39
Co: 0.7784 0.5000 0.5569  12 Co 2.41-2.45
Co: 0.3359 0.0000 0.6718  2 Be 2.35, 10 Co 2.39-2.46
Co: 0.1093 0.5000 0.2187  10 Co 2.35-2.45, 2 Be 2.39
Be: 0.9981 0.0000 0.9963  10 Co 2.35-2.39, 2 Be 2.45

---

Version 2
Material: BeCo5
Method: DFT, PBEsol
State: relaxed

Cell: 3.9249 4.1739 4.1739 Å, 120.00 90.00 90.00°
With the nearest neighbours (Å) after each atom.
Positions (direct):
Co: 0.0000 0.0000 0.6759  10 Co 2.34-2.44, 2 Be 2.38
Co: 0.5000 0.6667 0.3333  9 Co 2.41-2.42, 3 Be 2.41
Co: 0.0000 0.6759 0.0000  10 Co 2.34-2.44, 2 Be 2.38
Co: 0.0000 0.3241 0.3241  10 Co 2.34-2.44, 2 Be 2.38
Co: 0.5000 0.3333 0.6667  9 Co 2.41-2.42, 3 Be 2.41
Be: 0.5000 0.0000 0.0000  12 Co 2.38-2.41

---

Which of them is the most stable, and which is the least stable? version 2 and version 1, in that order.

---

Version 1
Material: Be2CrCo
Method: DFT, PBEsol
State: relaxed

Cell: 2.3067 4.1880 4.1880 Å, 110.58 90.00 90.00°
With the nearest neighbours (Å) after each atom.
Positions (direct):
Be: 0.0000 0.0000 0.5000  4 Be 2.31-2.38, 4 Cr 2.39, 4 Co 2.39
Be: 0.0000 0.5000 0.0000  4 Be 2.31-2.38, 4 Co 2.39, 4 Cr 2.39
Co: 0.5000 0.0000 0.0000  2 Co 2.31, 2 Cr 2.38, 8 Be 2.39
Cr: 0.5000 0.5000 0.5000  2 Cr 2.31, 2 Co 2.38, 8 Be 2.39

---

Version 2
Material: Be2CrCo
Method: DFT, PBEsol
State: relaxed

Cell: 3.7333 3.7333 3.7333 Å, 60.00 60.00 60.00°
With the nearest neighbours (Å) after each atom.
Positions (direct):
Be: 0.2500 0.2500 0.2500  4 Cr 2.29, 4 Co 2.29
Cr: 0.5000 0.5000 0.5000  8 Be 2.29
Co: 0.0000 0.0000 0.0000  8 Be 2.29
Be: 0.7500 0.7500 0.7500  4 Co 2.29, 4 Cr 2.29

---

Version 3
Material: Be2CrCo
Method: DFT, PBEsol
State: relaxed

Cell: 2.4080 2.4080 7.6354 Å, 80.93 80.93 60.00°
With the nearest neighbours (Å) after each atom.
Positions (direct):
Be: 0.7548 0.7548 0.7355  3 Co 2.25, 6 Be 2.41, 3 Cr 2.42
Cr: 0.0000 0.0000 0.0000  6 Cr 2.41, 6 Be 2.42
Be: 0.2452 0.2452 0.2645  3 Co 2.25, 6 Be 2.41, 3 Cr 2.42
Co: 0.5000 0.5000 0.5000  6 Be 2.25, 6 Co 2.41

---

Which of them is the most stable, and which is the least stable? version 2 and version 3, in that order.

---

Version 1
Material: BeGaCo2
Method: DFT, PBEsol
State: relaxed

Cell: 3.8446 3.8446 3.8446 Å, 60.00 60.00 60.00°
With the nearest neighbours (Å) after each atom.
Positions (direct):
Co: 0.2500 0.2500 0.2500  4 Ga 2.35, 4 Be 2.35
Ga: 0.5000 0.5000 0.5000  8 Co 2.35
Co: 0.7500 0.7500 0.7500  4 Ga 2.35, 4 Be 2.35
Be: 0.0000 0.0000 0.0000  8 Co 2.35

---

Version 2
Material: BeGaCo2
Method: DFT, PBEsol
State: relaxed

Cell: 3.4295 3.4295 8.3248 Å, 101.89 101.89 90.00°
With the nearest neighbours (Å) after each atom.
Positions (direct):
Be: 0.5000 0.5000 0.0000  4 Co 2.28, 4 Ga 2.43
Co: 0.1250 0.1691 0.7500  2 Co 2.22, 2 Be 2.28, 2 Ga 2.39
Be: 0.7500 0.2500 0.5000  4 Co 2.28, 4 Ga 2.43
Ga: 0.0000 0.0000 0.0000  4 Co 2.39, 4 Be 2.43
Ga: 0.2500 0.7500 0.5000  4 Co 2.39, 4 Be 2.43
Co: 0.4191 0.8750 0.2500  2 Co 2.22, 2 Be 2.28, 2 Ga 2.39
Co: 0.6250 0.5809 0.7500  2 Co 2.22, 2 Be 2.28, 2 Ga 2.39
Co: 0.8309 0.3750 0.2500  2 Co 2.22, 2 Be 2.28, 2 Ga 2.39

---

Which of them is the most stable, and which is the least stable? version 1 and version 2, in that order.

---

Version 1
Material: BeCo2Ge
Method: DFT, PBEsol
State: relaxed

Cell: 2.7589 2.7589 5.2687 Å, 90.00 90.00 90.00°
With the nearest neighbours (Å) after each atom.
Positions (direct):
Ge: 0.0000 0.0000 0.5000  8 Co 2.39, 2 Be 2.63
Co: 0.5000 0.5000 0.2387  4 Be 2.32, 4 Ge 2.39, 1 Co 2.52
Be: 0.0000 0.0000 0.0000  8 Co 2.32
Co: 0.5000 0.5000 0.7613  4 Be 2.32, 4 Ge 2.39, 1 Co 2.52

---

Version 2
Material: BeCo2Ge
Method: DFT, PBEsol
State: relaxed

Cell: 3.8375 3.8375 3.8375 Å, 60.00 60.00 60.00°
With the nearest neighbours (Å) after each atom.
Positions (direct):
Be: 0.0000 0.0000 0.0000  8 Co 2.35
Ge: 0.5000 0.5000 0.5000  8 Co 2.35
Co: 0.7500 0.7500 0.7500  4 Ge 2.35, 4 Be 2.35
Co: 0.2500 0.2500 0.2500  4 Ge 2.35, 4 Be 2.35

---

Which of them is the most stable, and which is the least stable? version 2 and version 1, in that order.

---

Version 1
Material: Be2CoIr
Method: DFT, PBEsol
State: relaxed

Cell: 2.7445 3.7658 3.7658 Å, 90.00 90.00 90.00°
With the nearest neighbours (Å) after each atom.
Positions (direct):
Ir: 0.5000 0.0000 0.0000  8 Be 2.33
Be: 0.0000 0.5000 0.0000  4 Co 2.33, 4 Ir 2.33
Be: 0.0000 0.0000 0.5000  4 Co 2.33, 4 Ir 2.33
Co: 0.5000 0.5000 0.5000  8 Be 2.33

---

Version 2
Material: Be2CoIr
Method: DFT, PBEsol
State: relaxed

Cell: 2.8288 4.1112 4.2934 Å, 118.61 109.23 90.00°
With the nearest neighbours (Å) after each atom.
Positions (direct):
Be: 0.7608 0.7608 0.5216  2 Co 2.19, 2 Ir 2.31
Ir: 0.0000 0.5000 0.0000  4 Be 2.31, 4 Co 2.50
Be: 0.2392 0.2392 0.4784  2 Co 2.19, 2 Ir 2.31
Co: 0.5000 0.0000 0.0000  4 Be 2.19

---

Version 3
Material: Be2CoIr
Method: DFT, PBEsol
State: relaxed

Cell: 2.8145 3.5451 4.1102 Å, 90.00 90.00 90.00°
With the nearest neighbours (Å) after each atom.
Positions (direct):
Co: 0.5000 0.5000 0.0000  4 Be 2.26, 4 Ir 2.49
Be: 0.0000 0.0000 0.0000  4 Co 2.26, 4 Be 2.49
Ir: 0.0000 0.5000 0.5000  4 Be 2.26, 4 Co 2.49
Be: 0.5000 0.0000 0.5000  4 Ir 2.26, 4 Be 2.49

---

Version 4
Material: Be2CoIr
Method: DFT, PBEsol
State: relaxed

Cell: 3.7944 3.7944 3.7944 Å, 60.00 60.00 60.00°
With the nearest neighbours (Å) after each atom.
Positions (direct):
Ir: 0.5000 0.5000 0.5000  8 Be 2.32
Co: 0.0000 0.0000 0.0000  8 Be 2.32
Be: 0.2500 0.2500 0.2500  4 Co 2.32, 4 Ir 2.32
Be: 0.7500 0.7500 0.7500  4 Ir 2.32, 4 Co 2.32

---

Which of them is the most stable, and which is the least stable? version 4 and version 3, in that order.

---

Version 1
Material: LaBe2Co
Method: DFT, PBEsol
State: relaxed

Cell: 3.2287 4.4819 4.4819 Å, 114.60 90.00 90.00°
With the nearest neighbours (Å) after each atom.
Positions (direct):
La: 0.5000 0.5000 0.5000  2 Co 2.42
Co: 0.5000 0.0000 0.0000  2 La 2.42
Be: 0.0000 0.5000 0.0000  2 Be 2.42
Be: 0.0000 0.0000 0.5000  2 Be 2.42

---

Version 2
Material: LaBe2Co
Method: DFT, PBEsol
State: relaxed

Cell: 3.8133 3.8133 5.0453 Å, 76.74 76.74 61.66°
With the nearest neighbours (Å) after each atom.
Positions (direct):
Be: 0.0474 0.0474 0.7840  3 Be 2.15-2.27, 3 Co 2.24-2.25
Co: 0.3996 0.3996 0.7148  6 Be 2.20-2.25
La: 0.3250 0.3250 0.2516  2 Co 2.51-2.62, 1 Be 2.81
Be: 0.7279 0.7279 0.7497  3 Be 2.15-2.27, 3 Co 2.20-2.24

---

Which of them is the most stable, and which is the least stable? version 2 and version 1, in that order.

---

Version 1
Material: BeCo2O4
Method: DFT, PBEsol
State: relaxed

Cell: 5.4089 5.4089 5.4089 Å, 60.00 60.00 60.00°
With the nearest neighbours (Å) after each atom.
Positions (direct):
Be: 0.5000 0.5000 0.5000  4 O 1.70
Be: 0.7500 0.7500 0.7500  4 O 1.70
O: 0.8781 0.8781 0.3658  1 Be 1.70, 3 Co 1.89
O: 0.8781 0.8781 0.8781  1 Be 1.70, 3 Co 1.89
O: 0.3719 0.3719 0.3719  1 Be 1.70, 3 Co 1.89
Co: 0.1250 0.1250 0.1250  6 O 1.89
O: 0.8842 0.3719 0.3719  1 Be 1.70, 3 Co 1.89
O: 0.8781 0.3658 0.8781  1 Be 1.70, 3 Co 1.89
O: 0.3658 0.8781 0.8781  1 Be 1.70, 3 Co 1.89
Co: 0.6250 0.1250 0.1250  6 O 1.89
Co: 0.1250 0.6250 0.1250  6 O 1.89
Co: 0.1250 0.1250 0.6250  6 O 1.89
O: 0.3719 0.8842 0.3719  1 Be 1.70, 3 Co 1.89
O: 0.3719 0.3719 0.8842  1 Be 1.70, 3 Co 1.89

---

Version 2
Material: BeCo2O4
Method: DFT, PBEsol
State: relaxed

Cell: 2.8546 8.8855 9.1377 Å, 90.00 90.00 90.00°
With the nearest neighbours (Å) after each atom.
Positions (direct):
O: 0.7500 0.4740 0.8755  1 Be 1.52
O: 0.2500 0.7522 0.5319  1 Be 1.55
O: 0.7500 0.2478 0.4681  1 Be 1.55
O: 0.7500 0.9740 0.6245  1 Be 1.52
Co: 0.2500 0.3831 0.4273  6 O 1.90-1.94
Be: 0.7500 0.1434 0.6046  3 O 1.52-1.55
O: 0.2500 0.5260 0.1245  1 Be 1.52
Co: 0.2500 0.8831 0.0727  6 O 1.90-1.94
O: 0.2500 0.2522 0.9681  1 Be 1.55
Co: 0.7500 0.6169 0.5727  6 O 1.90-1.94
O: 0.7500 0.5180 0.3852  4 Co 1.90-1.93
O: 0.2500 0.4820 0.6148  4 Co 1.90-1.93
O: 0.2500 0.9820 0.8852  4 Co 1.90-1.93
O: 0.7500 0.2332 0.7480  1 Be 1.53
Co: 0.7500 0.1169 0.9273  6 O 1.90-1.94
Be: 0.2500 0.8566 0.3954  3 O 1.52-1.55
O: 0.7500 0.0180 0.1148  4 Co 1.90-1.93
Co: 0.7500 0.1310 0.2944  6 O 1.86-1.92
Co: 0.2500 0.8690 0.7056  6 O 1.86-1.92
O: 0.7500 0.7478 0.0319  1 Be 1.55
Be: 0.2500 0.3566 0.1046  3 O 1.52-1.55
Be: 0.7500 0.6434 0.8954  3 O 1.52-1.55
O: 0.2500 0.7668 0.2520  1 Be 1.53
O: 0.2500 0.0260 0.3755  1 Be 1.52
Co: 0.2500 0.3690 0.7944  6 O 1.86-1.92
O: 0.7500 0.7332 0.7520  1 Be 1.53
O: 0.2500 0.2668 0.2480  1 Be 1.53
Co: 0.7500 0.6310 0.2056  6 O 1.86-1.92

---

Which of them is the most stable, and which is the least stable? version 1 and version 2, in that order.

---

Version 1
Material: BeCoP
Method: DFT, PBEsol
State: relaxed

Cell: 3.5322 3.5322 3.5322 Å, 60.00 60.00 60.00°
With the nearest neighbours (Å) after each atom.
Positions (direct):
Be: 0.2500 0.2500 0.2500  4 Co 2.16, 4 P 2.16
Co: 0.0000 0.0000 0.0000  4 Be 2.16
P: 0.5000 0.5000 0.5000  4 Be 2.16

---

Version 2
Material: BeCoP
Method: DFT, PBEsol
State: relaxed

Cell: 3.5860 3.5860 3.5860 Å, 60.00 60.00 60.00°
With the nearest neighbours (Å) after each atom.
Positions (direct):
Co: 0.2500 0.2500 0.2500  4 Be 2.20, 4 P 2.20
Be: 0.5000 0.5000 0.5000  4 Co 2.20
P: 0.0000 0.0000 0.0000  4 Co 2.20

---

Which of them is the most stable, and which is the least stable? version 2 and version 1, in that order.

---

Version 1
Material: Be3CoRe
Method: DFT, PBEsol
State: relaxed

Cell: 4.1247 4.1247 4.1247 Å, 90.00 90.00 90.00°
With the nearest neighbours (Å) after each atom.
Positions (direct):
Be: 0.0000 0.0000 0.5000  2 Re 2.06
Re: 0.0000 0.0000 0.0000  6 Be 2.06
Be: 0.5000 0.0000 0.0000  2 Re 2.06
Co: 0.5000 0.5000 0.5000  12 Be 2.92
Be: 0.0000 0.5000 0.0000  2 Re 2.06

---

Version 2
Material: Be3CoRe
Method: DFT, PBEsol
State: relaxed

Cell: 3.7327 3.7327 3.7327 Å, 90.00 90.00 90.00°
With the nearest neighbours (Å) after each atom.
Positions (direct):
Be: 0.5000 0.0000 0.0000  2 Co 1.87
Be: 0.0000 0.5000 0.0000  2 Co 1.87
Co: 0.0000 0.0000 0.0000  6 Be 1.87
Be: 0.0000 0.0000 0.5000  2 Co 1.87
Re: 0.5000 0.5000 0.5000  12 Be 2.64

---

Which of them is the most stable, and which is the least stable? version 2 and version 1, in that order.

---

Version 1
Material: BeCoRe
Method: DFT, PBEsol
State: relaxed

Cell: 2.6160 2.6160 5.8617 Å, 90.00 90.00 120.00°
With the nearest neighbours (Å) after each atom.
Positions (direct):
Co: 0.3333 0.6667 0.6811  3 Be 2.33, 3 Re 2.53
Be: 0.0000 0.0000 0.9844  3 Co 2.33, 3 Re 2.55
Re: 0.6667 0.3333 0.3344  3 Co 2.53, 3 Be 2.55, 6 Re 2.62

---

Version 2
Material: BeCoRe
Method: DFT, PBEsol
State: relaxed

Cell: 4.4157 4.4327 4.4327 Å, 62.17 60.13 60.13°
With the nearest neighbours (Å) after each atom.
Positions (direct):
Re: 0.6213 0.1287 0.6287  6 Be 2.55-2.66, 6 Co 2.60, 4 Re 2.72-2.74
Be: 0.5000 0.5000 0.0000  2 Be 2.21, 4 Co 2.22
Co: 0.0000 0.0000 0.0000  4 Be 2.22, 2 Co 2.29
Re: 0.3787 0.8713 0.3713  6 Be 2.55-2.66, 6 Co 2.60, 4 Re 2.72-2.74
Be: 0.0000 0.5000 0.0000  2 Be 2.21, 4 Co 2.22
Co: 0.0000 0.5000 0.5000  4 Be 2.22, 2 Co 2.29

---

Which of them is the most stable, and which is the least stable? version 2 and version 1, in that order.

---

Version 1
Material: BeCoSi
Method: DFT, PBEsol
State: relaxed

Cell: 2.4795 3.6885 3.6885 Å, 120.00 90.00 90.00°
With the nearest neighbours (Å) after each atom.
Positions (direct):
Be: 0.0112 0.0000 0.0000  3 Si 2.25, 3 Co 2.28, 2 Be 2.48
Co: 0.6818 0.3333 0.6667  3 Be 2.28, 3 Si 2.32, 2 Co 2.48
Si: 0.3069 0.6667 0.3333  3 Be 2.25, 3 Co 2.32, 2 Si 2.48

---

Version 2
Material: BeCoSi
Method: DFT, PBEsol
State: relaxed

Cell: 2.6408 3.0839 4.0898 Å, 112.15 108.84 90.00°
With the nearest neighbours (Å) after each atom.
Positions (direct):
Si: 0.3312 0.3312 0.6624  5 Be 2.32-2.37, 5 Co 2.35-2.37
Co: 0.6643 0.6643 0.3285  5 Be 2.33-2.42, 5 Si 2.35-2.37
Be: 0.0045 0.0045 0.0091  5 Si 2.32-2.37, 5 Co 2.33-2.42

---

Which of them is the most stable, and which is the least stable? version 2 and version 1, in that order.

---

Version 1
Material: TiBe2Co2
Method: DFT, PBEsol
State: relaxed

Cell: 3.4041 3.4041 5.2223 Å, 109.02 109.02 90.00°
With the nearest neighbours (Å) after each atom.
Positions (direct):
Co: 0.3835 0.3835 0.7671  4 Be 2.10, 1 Co 2.16
Be: 0.2500 0.7500 0.5000  4 Co 2.10
Co: 0.6165 0.6165 0.2329  4 Be 2.10, 1 Co 2.16
Be: 0.7500 0.2500 0.5000  4 Co 2.10
Ti: 0.0000 0.0000 0.0000  8 Co 2.64, 8 Be 2.88

---

Version 2
Material: TiBe2Co2
Method: DFT, PBEsol
State: relaxed

Cell: 2.5648 6.2266 6.2266 Å, 90.00 90.00 90.00°
With the nearest neighbours (Å) after each atom.
Positions (direct):
Ti: 0.0000 0.0000 0.0000  4 Be 2.49, 2 Ti 2.56, 8 Co 2.63
Co: 0.5000 0.8260 0.3260  6 Be 2.23-2.25
Be: 0.0000 0.6187 0.1187  1 Be 2.09, 6 Co 2.23-2.25
Be: 0.0000 0.3813 0.8813  1 Be 2.09, 6 Co 2.23-2.25
Co: 0.5000 0.3260 0.1740  6 Be 2.23-2.25
Co: 0.5000 0.6740 0.8260  6 Be 2.23-2.25
Ti: 0.0000 0.5000 0.5000  4 Be 2.49, 2 Ti 2.56, 8 Co 2.63
Be: 0.0000 0.1187 0.3813  1 Be 2.09, 6 Co 2.23-2.25
Be: 0.0000 0.8813 0.6187  1 Be 2.09, 6 Co 2.23-2.25
Co: 0.5000 0.1740 0.6740  6 Be 2.23-2.25

---

Which of them is the most stable, and which is the least stable? version 2 and version 1, in that order.